Density functional theory data (PBE-GGA) for crystalline LiCo4As at its relaxed geometry.

Lattice parameters (Å, degrees): 4.7686 4.7686 4.7686 60.00 60.00 60.00
Element x y z (fractional)
Li 0.2500 0.2500 0.2500
Co 0.6249 0.6249 0.1253
Co 0.6249 0.1253 0.6249
Co 0.6249 0.6249 0.6249
Co 0.1253 0.6249 0.6249
As 0.0000 0.0000 0.0000

Properties
Mass density ... 6.88 g/cm3
Energy relative to the elements ... 172 meV per atom
Calculated volume ... 12.8 A^3/atom
Magnetic moment ... 7.22 μB per formula unit
Electronic total energy ... -5.66 eV/atom
Space-group type ... No. 216


Density functional theory data (PBE-GGA) for crystalline Mg2BeAs at its relaxed geometry.

Lattice parameters (Å, degrees): 3.1789 3.1789 7.6336 90.00 90.00 105.65
Element x y z (fractional)
Be 0.5000 0.5000 0.7098
As 0.0000 0.0000 0.5607
Mg 0.0000 0.0000 0.9540
Mg 0.5000 0.5000 0.2755

Properties
Mass density ... 2.96 g/cm3
Relative energy among the computed polymorphs ... 323 meV/atom
Energy relative to the elements ... 146 meV per atom
Calculated volume ... 18.6 A^3/atom
Magnetic moment ... 0.00 μB per formula unit
Electronic total energy ... -2.75 eV/atom
Space-group type ... No. 35


Density functional theory data (PBE-GGA) for crystalline TbNdSm2Y at its relaxed geometry.

Lattice parameters (Å, degrees): 7.2314 8.4254 7.2148 125.73 90.00 90.00
Element x y z (fractional)
Tb 0.2500 0.9816 0.9633
Tb 0.7500 0.0184 0.0367
Nd 0.2500 0.7187 0.4374
Nd 0.7500 0.2813 0.5626
Sm 0.5000 0.3087 0.0000
Sm 0.0000 0.6913 0.0000
Sm 0.5000 0.6913 0.0000
Sm 0.0000 0.3087 0.0000
Y 0.7500 0.7384 0.4768
Y 0.2500 0.2616 0.5232

Properties
Mass density ... 6.45 g/cm3
Energy relative to the elements ... 381 meV per atom
Calculated volume ... 35.7 A^3/atom
Magnetic moment ... 0.00 μB per formula unit
Electronic total energy ... -4.68 eV/atom
Space-group type ... No. 63


Density functional theory data (PBE-GGA) for crystalline La3PrDy3Se8 at its relaxed geometry.

Lattice parameters (Å, degrees): 8.3212 8.3195 8.4261 119.59 90.00 120.01
Element x y z (fractional)
La 0.0000 0.0000 0.0000
La 0.0000 0.5000 0.0000
La 0.5000 0.5000 0.0000
Pr 0.0000 0.0000 0.5000
Dy 0.5000 0.0000 0.5000
Dy 0.5000 0.5000 0.5000
Dy 0.0000 0.5000 0.5000
Se 0.2560 0.5121 0.2679
Se 0.7440 0.4879 0.7321
Se 0.7445 0.4890 0.2567
Se 0.2555 0.5110 0.7433
Se 0.7446 0.0125 0.2570
Se 0.2554 0.9875 0.7430
Se 0.2679 0.0125 0.2570
Se 0.7321 0.9875 0.7430

Properties
Mass density ... 6.71 g/cm3
Calculated volume ... 27.7 A^3/atom
Magnetic moment ... 0.00 μB per formula unit
ΔE_f (raw) ... -1912.2 meV/atom
Electronic total energy ... -6.00 eV/atom
Space-group type ... No. 166


Density functional theory data (PBE-GGA) for crystalline LiNp2As4Pt3 at its relaxed geometry.

Lattice parameters (Å, degrees): 4.1713 4.1713 10.9722 90.00 90.00 90.00
Element x y z (fractional)
Li 0.5000 0.5000 0.5000
Np 0.5000 0.0000 0.2627
Np 0.0000 0.5000 0.7373
As 0.5000 0.5000 0.0000
As 0.0000 0.0000 0.0000
As 0.5000 0.0000 0.6356
As 0.0000 0.5000 0.3644
Pt 0.0000 0.0000 0.5000
Pt 0.5000 0.0000 0.8594
Pt 0.0000 0.5000 0.1406

Properties
Mass density ... 11.88 g/cm3
Energy relative to the elements ... -517 meV per atom
Calculated volume ... 19.1 A^3/atom
Magnetic moment ... 7.95 μB per formula unit
Electronic total energy ... -6.97 eV/atom
Space-group type ... No. 115


Density functional theory data (PBE-GGA) for crystalline PuHgBi2 at its relaxed geometry.

Lattice parameters (Å, degrees): 3.5089 5.8104 5.8104 74.19 88.55 88.55
Element x y z (fractional)
Pu 0.5000 0.5000 0.0000
Hg 0.5000 0.0000 0.5000
Bi 0.0000 0.0000 0.0000
Bi 0.0000 0.5000 0.5000

Properties
Mass density ... 12.57 g/cm3
Relative energy among the computed polymorphs ... 78 meV/atom
Energy relative to the elements ... -166 meV per atom
Calculated volume ... 28.5 A^3/atom
Magnetic moment ... 5.63 μB per formula unit
Electronic total energy ... -5.77 eV/atom
Space-group type ... No. 12


Density functional theory data (PBE-GGA) for crystalline PdNO2F at its relaxed geometry.

Lattice parameters (Å, degrees): 3.7515 3.7515 3.4336 90.00 90.00 90.00
Element x y z (fractional)
N 0.0000 0.0000 0.0000
O 0.0000 0.5000 0.0000
O 0.5000 0.0000 0.0000
Pd 0.5000 0.5000 0.5000
F 0.0000 0.0000 0.5000

Properties
Mass density ... 5.89 g/cm3
Calculated volume ... 9.7 A^3/atom
Magnetic moment ... 0.00 μB per formula unit
ΔE_f (raw) ... 1141.9 meV/atom
Electronic total energy ... -3.92 eV/atom
Space-group type ... No. 123


Density functional theory data (PBE-GGA) for crystalline Ac7Pb3C2 at its relaxed geometry.

Lattice parameters (Å, degrees): 5.5207 5.2813 14.1015 90.00 101.29 90.00
Element x y z (fractional)
Ac 0.6026 0.0000 0.2052
Ac 0.1998 0.0000 0.3997
Ac 0.0000 0.0000 0.0000
Ac 0.3974 0.0000 0.7948
Ac 0.9042 0.5000 0.8084
Ac 0.0958 0.5000 0.1916
Ac 0.8002 0.0000 0.6003
Pb 0.5000 0.5000 0.0000
Pb 0.3109 0.5000 0.6219
Pb 0.6891 0.5000 0.3781
C 0.1071 0.0000 0.2141
C 0.8929 0.0000 0.7859

Properties
Mass density ... 9.20 g/cm3
Energy relative to the elements ... -259 meV per atom
Calculated volume ... 33.6 A^3/atom
Magnetic moment ... 0.00 μB per formula unit
Electronic total energy ... -5.12 eV/atom
Space-group type ... No. 65